Material: NiO2F2
Method: DFT, GGA+U
State: relaxed

Summary:
The calculation puts the uncorrected energy at -2.92 eV per atom. Its space group is P4/mmm, No. 123.

Cell: 3.718 3.718 3.702 Å, 90.00 90.00 90.00°
Last column: magnetic moment on the atom in μB.
Fractional coordinates of all 5 atoms:
F 0.500 0.000 0.000  -0.01
Ni 0.500 0.500 0.500  1.81
F 0.000 0.500 0.000  -0.01
O 0.000 0.000 0.500  0.09
O 0.000 0.000 0.000  -0.11